Entry 1:
DFT (PBE) results for AlFePt2 after structural relaxation.

Total magnetic moment (Bohr magnetons per cell): 11.00
SG: F-43m, No. 216
Energy (eV/atom): -6.42
Crystal system: cubic

Lattice parameters (Å, degrees): 6.106 6.106 6.106 90.00 90.00 90.00
Positions (direct):
Al 0.000 0.000 0.000
Al 0.000 0.500 0.500
Al 0.500 0.000 0.500
Al 0.500 0.500 0.000
Fe 0.250 0.250 0.250
Fe 0.250 0.750 0.750
Fe 0.750 0.250 0.750
Fe 0.750 0.750 0.250
Pt 0.000 0.000 0.500
Pt 0.000 0.500 0.000
Pt 0.250 0.250 0.750
Pt 0.250 0.750 0.250
Pt 0.500 0.000 0.000
Pt 0.500 0.500 0.500
Pt 0.750 0.250 0.250
Pt 0.750 0.750 0.750

Entry 2:
DFT (PBE) results for TcBNO after structural relaxation.

Total magnetic moment (Bohr magnetons per cell): 0.00
SG: P4/nmm, No. 129
Excess energy over the best structure of this formula in the dataset (eV/atom): 0.686
Energy (eV/atom): -7.81
Crystal system: tetragonal

Lattice parameters (Å, degrees): 3.433 3.433 6.519 90.00 90.00 90.00
Positions (direct):
Tc 0.250 0.750 0.000
Tc 0.750 0.250 0.000
B 0.250 0.250 0.412
B 0.750 0.750 0.588
N 0.250 0.250 0.185
N 0.750 0.750 0.815
O 0.250 0.750 0.500
O 0.750 0.250 0.500

Entry 3:
DFT (PBE) results for TlPd2 after structural relaxation.

SG: Pnma, No. 62
Energy (eV/atom): -4.45
Crystal system: orthorhombic

Lattice parameters (Å, degrees): 5.827 4.307 8.483 90.00 90.00 90.00
Positions (direct):
Tl 0.177 0.250 0.099
Tl 0.323 0.750 0.599
Tl 0.677 0.250 0.401
Tl 0.823 0.750 0.901
Pd 0.069 0.250 0.765
Pd 0.155 0.250 0.426
Pd 0.345 0.750 0.926
Pd 0.431 0.750 0.265
Pd 0.569 0.250 0.735
Pd 0.655 0.250 0.074
Pd 0.845 0.750 0.574
Pd 0.931 0.750 0.235

Entry 4:
DFT (PBE) results for CsLiTa after structural relaxation.

Total magnetic moment (Bohr magnetons per cell): 16.62
SG: F-43m, No. 216
Excess energy over the best structure of this formula in the dataset (eV/atom): 0.000
Energy (eV/atom): -2.79
Crystal system: cubic

Lattice parameters (Å, degrees): 7.893 7.893 7.893 90.00 90.00 90.00
Positions (direct):
Cs 0.000 0.000 0.000
Cs 0.000 0.500 0.500
Cs 0.500 0.000 0.500
Cs 0.500 0.500 0.000
Li 0.000 0.000 0.500
Li 0.000 0.500 0.000
Li 0.500 0.000 0.000
Li 0.500 0.500 0.500
Ta 0.250 0.250 0.250
Ta 0.250 0.750 0.750
Ta 0.750 0.250 0.750
Ta 0.750 0.750 0.250

Entry 5:
DFT (PBE) results for Pm7PtI12 after structural relaxation.

Total magnetic moment (Bohr magnetons per cell): 1.00
SG: R-3, No. 148
Energy (eV/atom): -4.21
Crystal system: trigonal

Lattice parameters (Å, degrees): 9.979 9.979 9.979 107.50 107.50 107.50
Positions (direct):
Pm 0.000 0.000 0.000
Pm 0.192 0.395 0.468
Pm 0.395 0.468 0.192
Pm 0.468 0.192 0.395
Pm 0.532 0.808 0.605
Pm 0.605 0.532 0.808
Pm 0.808 0.605 0.532
Pt 0.500 0.500 0.500
I 0.028 0.342 0.109
I 0.109 0.028 0.342
I 0.182 0.725 0.575
I 0.275 0.425 0.818
I 0.342 0.109 0.028
I 0.425 0.818 0.275
I 0.575 0.182 0.725
I 0.658 0.891 0.972
I 0.725 0.575 0.182
I 0.818 0.275 0.425
I 0.891 0.972 0.658
I 0.972 0.658 0.891

Entry 6:
DFT (PBE) results for AcNi after structural relaxation.

Total magnetic moment (Bohr magnetons per cell): 0.00
SG: P2_1/m, No. 11
Formation energy from the elements (eV/atom): -0.2645
Energy (eV/atom): -5.10
Crystal system: monoclinic

Lattice parameters (Å, degrees): 4.030 4.413 6.067 90.00 109.26 90.00
Positions (direct):
Ac 0.134 0.250 0.269
Ac 0.866 0.750 0.731
Ni 0.431 0.250 0.862
Ni 0.569 0.750 0.138

Entry 7:
DFT (PBE) results for ErOs2 after structural relaxation.

Total magnetic moment (Bohr magnetons per cell): 2.88
SG: Fm-3m, No. 225
Formation energy from the elements (eV/atom): 1.4923
Energy (eV/atom): -7.51
Crystal system: cubic

Lattice parameters (Å, degrees): 6.268 6.268 6.268 90.00 90.00 90.00
Positions (direct):
Er 0.000 0.000 0.000
Er 0.000 0.500 0.500
Er 0.500 0.000 0.500
Er 0.500 0.500 0.000
Os 0.250 0.250 0.250
Os 0.250 0.250 0.750
Os 0.250 0.750 0.250
Os 0.250 0.750 0.750
Os 0.750 0.250 0.250
Os 0.750 0.250 0.750
Os 0.750 0.750 0.250
Os 0.750 0.750 0.750

Entry 8:
DFT (PBE) results for AlTcNiIr after structural relaxation.

Total magnetic moment (Bohr magnetons per cell): 1.92
SG: F-43m, No. 216
Energy (eV/atom): -7.32
Crystal system: cubic

Lattice parameters (Å, degrees): 6.010 6.010 6.010 90.00 90.00 90.00
Positions (direct):
Al 0.000 0.000 0.000
Al 0.000 0.500 0.500
Al 0.500 0.000 0.500
Al 0.500 0.500 0.000
Tc 0.250 0.250 0.750
Tc 0.250 0.750 0.250
Tc 0.750 0.250 0.250
Tc 0.750 0.750 0.750
Ni 0.250 0.250 0.250
Ni 0.250 0.750 0.750
Ni 0.750 0.250 0.750
Ni 0.750 0.750 0.250
Ir 0.000 0.000 0.500
Ir 0.000 0.500 0.000
Ir 0.500 0.000 0.000
Ir 0.500 0.500 0.500

- Which formula does entry 2 have?
  TcBNO